[1]
The following is a DFT calculation (GGA-PBE) of a geometry-optimized CsZr3Tl structure.

Its calculated formation energy is 9.27 eV per formula unit. The value obtained for the spin magnetization is 1.7 μB/f.u. Its distance to the lowest polymorph of the same formula is 2.57 eV/f.u.

a b c (Å): 5.285 5.285 5.285
angles (deg): 90.00 90.00 90.00
Positions (direct):
1 Cs 0.000 0.000 0.000
2 Zr 0.000 0.000 0.500
3 Zr 0.000 0.500 0.000
4 Zr 0.500 0.000 0.000
5 Tl 0.500 0.500 0.500


[2]
The following is a DFT calculation (GGA-PBE) of a geometry-optimized Co2SiAg structure.

For the raw formation energy, the calculation gives 0.139 eV/atom. The value obtained for the spin magnetization is 2.2 μB/f.u.

a b c (Å): 4.406 4.406 4.649
angles (deg): 101.17 101.17 36.17
Positions (direct):
1 Co 0.000 0.000 0.000
2 Co 0.743 0.743 0.210
3 Si 0.267 0.267 0.817
4 Ag 0.506 0.506 0.501


[3]
The following is a DFT calculation (GGA-PBE) of a geometry-optimized Sr8Pd3Pt2 structure.

Its calculated formation energy is -7.52 eV per formula unit. The value obtained for the spin magnetization is 0.0 μB/f.u.

a b c (Å): 9.114 9.114 5.267
angles (deg): 90.00 90.00 109.60
Positions (direct):
1 Sr 0.122 0.374 0.500
2 Sr 0.125 0.875 0.000
3 Sr 0.373 0.627 0.000
4 Sr 0.374 0.122 0.500
5 Sr 0.626 0.878 0.500
6 Sr 0.627 0.373 0.000
7 Sr 0.875 0.125 0.000
8 Sr 0.878 0.626 0.500
9 Pd 0.000 0.000 0.500
10 Pd 0.249 0.249 0.000
11 Pd 0.751 0.751 0.000
12 Pt 0.251 0.749 0.500
13 Pt 0.749 0.251 0.500


[4]
The following is a DFT calculation (GGA-PBE) of a geometry-optimized LiPrCN2 structure.

For the raw formation energy, the calculation gives -0.409 eV/atom. The value obtained for the spin magnetization is 0.0 μB/f.u.

a b c (Å): 5.838 3.662 6.015
angles (deg): 90.00 103.11 90.00
Positions (direct):
1 Li 0.000 0.019 0.250
2 Li 0.000 0.981 0.750
3 Pr 0.500 0.229 0.750
4 Pr 0.500 0.771 0.250
5 C 0.000 0.500 0.000
6 C 0.000 0.500 0.500
7 N 0.177 0.292 0.032
8 N 0.177 0.708 0.532
9 N 0.823 0.292 0.468
10 N 0.823 0.708 0.968


[5]
The following is a DFT calculation (GGA-PBE) of a geometry-optimized NaReTc3 structure.

Its calculated formation energy is 13.11 eV per formula unit. The value obtained for the spin magnetization is 1.6 μB/f.u. Its distance to the lowest polymorph of the same formula is 5.48 eV/f.u.

a b c (Å): 4.345 4.345 4.345
angles (deg): 90.00 90.00 90.00
Positions (direct):
1 Na 0.000 0.000 0.000
2 Re 0.500 0.500 0.500
3 Tc 0.000 0.000 0.500
4 Tc 0.000 0.500 0.000
5 Tc 0.500 0.000 0.000


[6]
The following is a DFT calculation (GGA-PBE) of a geometry-optimized Ba4Pt3O9 structure.

For the raw formation energy, the calculation gives -1.682 eV/atom. The value obtained for the spin magnetization is 0.0 μB/f.u. Its distance to the lowest polymorph of the same formula is 0.00 eV/f.u.

a b c (Å): 8.760 10.192 10.242
angles (deg): 60.55 90.00 89.93
Positions (direct):
1 Ba 0.000 0.000 0.000
2 Ba 0.000 0.360 0.296
3 Ba 0.246 0.322 0.985
4 Ba 0.246 0.688 0.337
5 Ba 0.248 0.036 0.636
6 Ba 0.495 0.382 0.321
7 Ba 0.496 0.679 0.663
8 Ba 0.499 0.007 0.974
9 Ba 0.743 0.338 0.989
10 Ba 0.747 0.014 0.659
11 Ba 0.750 0.686 0.325
12 Ba 0.994 0.705 0.656
13 Pt 0.006 0.415 0.590
14 Pt 0.151 0.017 0.329
15 Pt 0.248 0.681 0.918
16 Pt 0.344 0.339 0.663
17 Pt 0.489 0.091 0.252
18 Pt 0.587 0.679 0.998
19 Pt 0.667 0.337 0.666
20 Pt 0.828 0.016 0.332
21 Pt 0.909 0.678 0.999
22 O 0.022 0.680 0.172
23 O 0.062 0.830 0.847
24 O 0.067 0.532 0.991
25 O 0.187 0.485 0.669
26 O 0.192 0.356 0.501
27 O 0.228 0.160 0.827
28 O 0.267 0.851 0.504
29 O 0.304 0.177 0.315
30 O 0.306 0.009 0.184
31 O 0.429 0.531 0.994
32 O 0.435 0.827 0.840
33 O 0.474 0.689 0.168
34 O 0.503 0.335 0.814
35 O 0.505 0.503 0.515
36 O 0.506 0.198 0.646
37 O 0.671 0.170 0.323
38 O 0.672 0.008 0.189
39 O 0.717 0.849 0.507
40 O 0.746 0.672 0.846
41 O 0.747 0.529 0.143
42 O 0.749 0.826 0.994
43 O 0.778 0.161 0.833
44 O 0.821 0.345 0.512
45 O 0.825 0.477 0.677
46 O 0.988 0.170 0.164
47 O 0.990 0.034 0.471
48 O 0.990 0.868 0.334